Er2GePt5: relaxed, PBE-GGA.

CIF file:
```
data_Er2GePt5
_chemical_formula_sum 'Er4 Ge2 Pt10'
_space_group_name_H-M_alt 'P b a m'
_space_group_IT_number 55
_cell_length_a 5.805
_cell_length_b 11.794
_cell_length_c 4.129
_cell_angle_alpha 90.00
_cell_angle_beta 90.00
_cell_angle_gamma 90.00
loop_
_space_group_symop_operation_xyz
'x,y,z'
'-x,-y,-z'
'-x,-y,z'
'x,y,-z'
'x+1/2,-y+1/2,-z'
'-x+1/2,y+1/2,z'
'-x+1/2,y+1/2,-z'
'x+1/2,-y+1/2,z'
loop_
_atom_site_label
_atom_site_type_symbol
_atom_site_fract_x
_atom_site_fract_y
_atom_site_fract_z
Er1 Er 0.223 0.134 0.000
Ge1 Ge 0.000 0.500 0.500
Pt1 Pt 0.000 0.000 0.500
Pt2 Pt 0.024 0.750 0.500
Pt3 Pt 0.227 0.382 0.000
```

E_tot, eV per cell: -103.09
DFT formation energy, eV per formula unit: -7.60